Record 1
VASP calculation (PBE) on a geometry-optimized K2LiGePt structure.

For the density, the calculation gives 4.34 g/cm³. The calculation puts the energy at -2.47 eV per atom.

The structure belongs to space group P4/mmm (No. 123); the cell edges are 5.301, 5.301 and 4.803 Å and the angles 90.00°, 90.00° and 90.00°. Symmetry generates all atoms from K at (0.000, 0.500, 0.000), Li at (0.000, 0.000, 0.000), Ge at (0.000, 0.000, 0.500) and Pt at (0.500, 0.500, 0.500).



Record 2
VASP calculation (PBE) on a geometry-optimized KLiGePt structure.

For the density, the calculation gives 5.31 g/cm³. The calculation puts the energy at -3.88 eV per atom.

The structure belongs to space group Cm (No. 8); the cell edges are 7.580, 4.347 and 6.461 Å and the angles 90.00°, 112.93° and 90.00°. Symmetry generates all atoms from K at (0.000, 0.000, 0.000), Li at (0.319, 0.500, 0.457), Ge at (0.021, 0.500, 0.565) and Pt at (0.190, 0.000, 0.569).



Record 3
VASP calculation (PBE) on a geometry-optimized KLi2GePt structure.

For the density, the calculation gives 4.41 g/cm³. The calculation puts the energy at -3.49 eV per atom.

The structure belongs to space group P4/mmm (No. 123); the cell edges are 5.067, 5.067 and 4.706 Å and the angles 90.00°, 90.00° and 90.00°. Symmetry generates all atoms from K at (0.000, 0.000, 0.000), Li at (0.000, 0.500, 0.500), Ge at (0.500, 0.500, 0.000) and Pt at (0.500, 0.500, 0.500).



Record 4
VASP calculation (PBE) on a geometry-optimized K2LiGe3Pt4 structure.

For the density, the calculation gives 9.02 g/cm³. The calculation puts the energy at -4.68 eV per atom.

The structure belongs to space group P-4m2 (No. 115); the cell edges are 4.323, 4.323 and 10.665 Å and the angles 90.00°, 90.00° and 90.00°. Symmetry generates all atoms from K at (0.000, 0.500, 0.243), Li at (0.500, 0.500, 0.000), Ge at (0.000, 0.000, 0.000), Ge at (0.000, 0.500, 0.628), Pt at (0.000, 0.000, 0.500), Pt at (0.000, 0.500, 0.870) and Pt at (0.500, 0.500, 0.500).



Record 5
VASP calculation (PBE) on a geometry-optimized K2LiReGe structure.

For the density, the calculation gives 3.82 g/cm³. The calculation puts the energy at -2.88 eV per atom.

The structure belongs to space group P4/mmm (No. 123); the cell edges are 5.555, 5.555 and 4.847 Å and the angles 90.00°, 90.00° and 90.00°. Symmetry generates all atoms from K at (0.000, 0.500, 0.000), Li at (0.000, 0.000, 0.000), Re at (0.500, 0.500, 0.500) and Ge at (0.000, 0.000, 0.500).



Record 6
VASP calculation (PBE) on a geometry-optimized KLi2GeRh structure.

For the density, the calculation gives 3.24 g/cm³. The calculation puts the energy at -3.56 eV per atom.

The structure belongs to space group P4/mmm (No. 123); the cell edges are 4.994, 4.994 and 4.692 Å and the angles 90.00°, 90.00° and 90.00°. Symmetry generates all atoms from K at (0.000, 0.000, 0.000), Li at (0.000, 0.500, 0.500), Ge at (0.500, 0.500, 0.000) and Rh at (0.500, 0.500, 0.500).



Record 7
VASP calculation (PBE) on a geometry-optimized K2LiGeS4 structure.

For the density, the calculation gives 2.39 g/cm³. Its uncorrected formation energy is -77.94 kJ per mole of atoms. The calculation puts the energy at -3.96 eV per atom.

The structure belongs to space group I-42m (No. 121); the cell edges are 7.681, 7.681 and 6.743 Å and the angles 90.00°, 90.00° and 90.00°. Symmetry generates all atoms from K at (0.000, 0.500, 0.000), Li at (0.000, 0.000, 0.000), Ge at (0.000, 0.000, 0.500) and S at (0.156, 0.156, 0.283).



Record 8
VASP calculation (PBE) on a geometry-optimized K2LiGeSb2 structure.

For the density, the calculation gives 3.51 g/cm³. Its uncorrected formation energy is -38.74 kJ per mole of atoms. The calculation puts the energy at -3.23 eV per atom.

The structure belongs to space group Ibam (No. 72); the cell edges are 6.870, 15.923 and 6.934 Å and the angles 90.00°, 90.00° and 90.00°. Symmetry generates all atoms from K at (0.242, 0.169, 0.000), Li at (0.000, 0.000, 0.250), Ge at (0.000, 0.500, 0.250) and Sb at (0.238, 0.403, 0.000).



Record 9
VASP calculation (PBE) on a geometry-optimized KLi2GeSb structure.

For the density, the calculation gives 2.75 g/cm³. Its uncorrected formation energy is 75.27 kJ per mole of atoms. The calculation puts the energy at -1.95 eV per atom.

The structure belongs to space group P4/mmm (No. 123); the cell edges are 5.006, 5.006 and 5.963 Å and the angles 90.00°, 90.00° and 90.00°. Symmetry generates all atoms from K at (0.000, 0.000, 0.000), Li at (0.000, 0.500, 0.000), Ge at (0.500, 0.500, 0.500) and Sb at (0.000, 0.000, 0.500).



Record 10
VASP calculation (PBE) on a geometry-optimized KSrLiGe structure.

For the density, the calculation gives 3.12 g/cm³. The calculation puts the energy at -2.49 eV per atom.

The structure belongs to space group F-43m (No. 216); the cell edges are 7.603, 7.603 and 7.603 Å and the angles 90.00°, 90.00° and 90.00°. Symmetry generates all atoms from K at (0.000, 0.000, 0.000), Sr at (0.250, 0.250, 0.750), Li at (0.250, 0.250, 0.250) and Ge at (0.000, 0.000, 0.500).



Record 11
VASP calculation (PBE) on a geometry-optimized K2LiGeTe structure.

For the density, the calculation gives 2.36 g/cm³. Its uncorrected formation energy is -7.01 kJ per mole of atoms. The calculation puts the energy at -2.45 eV per atom.

The structure belongs to space group P4/mmm (No. 123); the cell edges are 6.522, 6.522 and 4.720 Å and the angles 90.00°, 90.00° and 90.00°. Symmetry generates all atoms from K at (0.000, 0.500, 0.000), Li at (0.000, 0.000, 0.000), Ge at (0.500, 0.500, 0.500) and Te at (0.000, 0.000, 0.500).



Record 12
VASP calculation (PBE) on a geometry-optimized KMg2Ge structure.

For the density, the calculation gives 1.70 g/cm³. The calculation puts the energy at -2.05 eV per atom.

The structure belongs to space group I4_1/amd (No. 141, origin choice 2); the cell edges are 5.987, 5.987 and 17.479 Å and the angles 90.00°, 90.00° and 90.00°. Symmetry generates all atoms from K at (0.000, 0.250, 0.375), Mg at (0.000, 0.000, 0.000) and Ge at (0.000, 0.250, 0.875).